Entry 1:
Computed, not measured: a relaxed structure of ScCuAu2 at the PBE-GGA level of DFT.

Cell and atoms, written as POSCAR:
```
ScCuAu2
1.0
-1.501 5.941 -4.145
-6.982 -0.060 2.442
-3.523 4.583 1.244
Sc Au Cu
2 4 2
Direct
0.500 0.500 0.000 Sc
0.250 0.750 0.500 Sc
0.650 0.125 0.250 Au
0.100 0.625 0.250 Au
0.375 0.350 0.750 Au
0.875 0.900 0.750 Au
0.000 0.000 0.000 Cu
0.750 0.250 0.500 Cu
```

Summary:
Raw total energy   -4.449 eV/atom
DOS(E_F)   3.47 states/eV/cell
Energy of formation from the pure elements   -0.20 eV per atom

Entry 2:
Computed, not measured: a relaxed structure of SmScCuAu at the PBE-GGA level of DFT.

Cell and atoms, written as POSCAR:
```
SmScCuAu
1.0
4.944 0.000 0.000
2.472 4.282 0.000
2.472 1.427 4.037
Sc Au Cu Sm
1 1 1 1
Direct
0.500 0.500 0.500 Sc
0.750 0.750 0.750 Au
0.250 0.250 0.250 Cu
0.000 0.000 0.000 Sm
```

Summary:
Raw total energy   -5.072 eV/atom
DOS(E_F)   3.56 states/eV/cell
Energy of formation from the pure elements   -0.47 eV per atom

Entry 3:
Computed, not measured: a relaxed structure of ScCuSnAu at the PBE-GGA level of DFT.

Cell and atoms, written as POSCAR:
```
ScCuSnAu
1.0
4.721 0.000 0.000
2.360 4.088 0.000
2.360 1.363 3.855
Sc Au Sn Cu
1 1 1 1
Direct
0.000 0.000 0.000 Sc
0.750 0.750 0.750 Au
0.500 0.500 0.500 Sn
0.250 0.250 0.250 Cu
```

Summary:
Raw total energy   -4.848 eV/atom
DOS(E_F)   1.86 states/eV/cell
Energy of formation from the pure elements   -0.42 eV per atom